# 1
The following is a GGA-PBE calculation of a relaxed KCaAsH16O12 crystal, from the Alexandria database.

Lattice parameters (Å, degrees): 8.1416 8.1416 6.6420 90.00 90.00 116.75
Last column: magnetic moment on the atom in μB.
Atoms (fractional coordinates):
K 0.5174 0.4826 0.0000  0.00
Ca 0.8499 0.1501 0.0000  -0.01
As 0.3436 0.6564 0.5000  0.24
H 0.9312 0.3634 0.4437  0.00
H 0.6366 0.0688 0.5563  0.00
H 0.6366 0.0688 0.4437  0.00
H 0.9312 0.3634 0.5563  0.00
H 0.4510 0.8171 0.8409  0.00
H 0.1829 0.5490 0.1591  0.00
H 0.1829 0.5490 0.8409  0.00
H 0.4510 0.8171 0.1591  0.00
H 0.9081 0.9123 0.6711  0.00
H 0.0877 0.0919 0.3289  0.00
H 0.0877 0.0919 0.6711  0.00
H 0.9081 0.9123 0.3289  0.00
H 0.2952 0.0001 0.6132  0.00
H 0.9999 0.7048 0.3868  0.00
H 0.9999 0.7048 0.6132  0.00
H 0.2952 0.0001 0.3868  0.00
O 0.9236 0.7087 0.5000  0.00
O 0.2913 0.0764 0.5000  0.00
O 0.2642 0.7358 0.7116  0.06
O 0.2642 0.7358 0.2884  0.06
O 0.6131 0.2225 0.0000  0.29
O 0.7775 0.3869 0.0000  0.29
O 0.5822 0.8441 0.1124  0.01
O 0.1559 0.4178 0.8876  0.01
O 0.1559 0.4178 0.1124  0.01
O 0.5822 0.8441 0.8876  0.01
O 0.9695 0.0305 0.7411  0.00
O 0.9695 0.0305 0.2589  0.00

# 2
The following is a GGA-PBE calculation of a relaxed KCaAsH16O12 crystal, from the Alexandria database.

Lattice parameters (Å, degrees): 6.9078 6.9078 7.1593 90.00 90.00 117.43
Atoms (fractional coordinates):
K 0.3150 0.6850 0.0000
Ca 0.0060 0.9940 0.0000
As 0.6292 0.3708 0.5000
H 0.9806 0.3181 0.2713
H 0.6819 0.0194 0.7287
H 0.6819 0.0194 0.2713
H 0.9806 0.3181 0.7287
H 0.8022 0.4935 0.1108
H 0.5065 0.1978 0.8892
H 0.5065 0.1978 0.1108
H 0.8022 0.4935 0.8892
H 0.9994 0.7806 0.3576
H 0.2194 0.0006 0.6424
H 0.2194 0.0006 0.3576
H 0.9994 0.7806 0.6424
H 0.2002 0.3064 0.3254
H 0.6936 0.7998 0.6746
H 0.6936 0.7998 0.3254
H 0.2002 0.3064 0.6746
O 0.7506 0.6532 0.5000
O 0.3468 0.2494 0.5000
O 0.7108 0.2892 0.2991
O 0.7108 0.2892 0.7009
O 0.8554 0.5901 0.0000
O 0.4099 0.1446 0.0000
O 0.1115 0.3135 0.2183
O 0.6865 0.8885 0.7817
O 0.6865 0.8885 0.2183
O 0.1115 0.3135 0.7817
O 0.1285 0.8715 0.2797
O 0.1285 0.8715 0.7203

# 3
The following is a GGA-PBE calculation of a relaxed CaLa2AsH crystal, from the Alexandria database.

Lattice parameters (Å, degrees): 5.8919 5.1247 5.8919 90.00 90.00 90.00
Atoms (fractional coordinates):
H 0.5000 0.5000 0.5000
As 0.0000 0.5000 0.0000
Ca 0.0000 0.0000 0.0000
La 0.0000 0.0000 0.5000
La 0.5000 0.0000 0.0000

# 4
The following is a GGA-PBE calculation of a relaxed Ca4La2As3H2 crystal, from the Alexandria database.

Lattice parameters (Å, degrees): 4.5879 4.5879 12.4658 100.60 100.60 90.00
Atoms (fractional coordinates):
Ca 0.4212 0.9212 0.8425
Ca 0.9212 0.4212 0.8425
Ca 0.0788 0.5788 0.1575
Ca 0.5788 0.0788 0.1575
La 0.2986 0.2986 0.5971
La 0.7014 0.7014 0.4029
As 0.0000 0.0000 0.0000
As 0.1692 0.1692 0.3385
As 0.8308 0.8308 0.6615
H 0.4034 0.4034 0.8067
H 0.5966 0.5966 0.1933

| no. | DFT total energy (eV/atom) | calculated volume (Å³/cell) | ρ (g/cm³) |
| --- | --- | --- | --- |
| 1 | -4.72 | 393.2 | 1.53 |
| 2 | -5.19 | 303.2 | 1.98 |
| 3 | -3.21 | 177.9 | 3.68 |
| 4 | -4.46 | 253.3 | 4.36 |